1.
Cu4Pd5Pt2 after structural relaxation. Source: the Alexandria database, functional GGA-PBE.

The structure in extended XYZ format:
```
11
Lattice="-1.906 1.266 3.148 -7.407 -5.820 -2.144 1.875 -4.334 0.472" Properties=species:S:1:pos:R:3 pbc="T T T"
Cu -1.431 -3.897 0.700
Cu -6.188 -7.485 1.669
Cu -6.007 -4.991 0.775
Cu -1.251 -1.403 -0.193
Pd -3.617 -4.657 2.088
Pd -3.822 -4.231 -0.613
Pd -1.141 -1.951 2.500
Pd -0.953 0.633 1.574
Pd -6.298 -6.937 -1.024
Pt -3.448 -2.078 1.154
Pt -3.991 -6.810 0.322
```

E_tot   -55.35 eV for the cell shown
Fermi-level density of states   15.18 states/eV/f.u.



2.
LiMnSb2H after structural relaxation. Source: the Alexandria database, functional GGA-PBE.

The structure in extended XYZ format:
```
5
Lattice="4.809 0.000 0.000 0.000 4.588 0.000 0.000 0.000 4.809" Properties=species:S:1:pos:R:3 pbc="T T T"
Sb 0.000 0.000 2.405
Sb 2.405 0.000 0.000
Mn 0.000 2.294 0.000
H 2.405 2.294 2.405
Li 0.000 0.000 0.000
```

E_tot   -18.11 eV for the cell shown
Fermi-level density of states   3.23 states/eV/f.u.



3.
MnCoTcHOs after structural relaxation. Source: the Alexandria database, functional GGA-PBE.

The structure in extended XYZ format:
```
10
Lattice="4.634 0.000 -0.022 0.000 2.643 0.000 -1.493 0.000 8.912" Properties=species:S:1:pos:R:3 pbc="T T T"
Mn 2.434 0.000 5.667
Mn 3.181 1.321 1.211
Co 3.969 0.000 3.665
Co 3.222 1.321 8.121
Tc 0.905 0.000 8.012
Tc 1.652 1.321 3.556
H 3.956 0.000 2.027
H 3.210 1.321 6.483
Os 0.968 0.000 1.221
Os 0.222 1.321 5.677
```

Fermi-level density of states   4.84 states/eV/f.u.
Polymorph energy (0 for the lowest one)   109 meV per atom



The highest Fermi-level density of states belongs to which entry? Cu4Pd5Pt2



What is the Fermi-level density of states in the first record? 15.18 states/eV/f.u.



The lowest Fermi-level density of states belongs to which entry? LiMnSb2H